[1]
# CaGa3As

A relaxed structure of CaGa3As (PBE, Alexandria).

Geometry as CIF:
```
data_CaGa3As
_chemical_formula_sum 'Ca1 Ga3 As1'
_cell_length_a 5.0565
_cell_length_b 5.0565
_cell_length_c 5.0565
_cell_angle_alpha 90.00
_cell_angle_beta 90.00
_cell_angle_gamma 90.00
_space_group_name_H-M_alt 'P m -3 m'
_space_group_IT_number 221
_space_group_name_Hall '-P 4 2 3'
loop_
_atom_site_label
_atom_site_fract_x
_atom_site_fract_y
_atom_site_fract_z
Ca1 0.0000 0.0000 0.0000
Ga1 0.0000 0.5000 0.5000
As1 0.5000 0.5000 0.5000
```

Summary:
The calculation puts the calculated volume at 129.29 Å³ per cell. The energy above the most stable polymorph in this dataset comes out at 0.0 meV per atom.

=====

[2]
# Ca2GaAs

A relaxed structure of Ca2GaAs (PBE, Alexandria).

Geometry as CIF:
```
data_Ca2GaAs
_chemical_formula_sum 'Ca8 Ga4 As4'
_cell_length_a 7.3210
_cell_length_b 7.3210
_cell_length_c 7.3210
_cell_angle_alpha 90.00
_cell_angle_beta 90.00
_cell_angle_gamma 90.00
_space_group_name_H-M_alt 'F m -3 m'
_space_group_IT_number 225
_space_group_name_Hall '-F 4 2 3'
loop_
_atom_site_label
_atom_site_fract_x
_atom_site_fract_y
_atom_site_fract_z
Ca1 0.2500 0.2500 0.2500
Ga1 0.0000 0.0000 0.0000
As1 0.0000 0.0000 0.5000
```

Summary:
The calculation puts the calculated volume at 392.38 Å³ per cell. The energy above the most stable polymorph in this dataset comes out at 0.0 meV per atom.

=====

no.,ΔH_f (0 K) (eV/atom)
1,0.112
2,-0.616